Record 1
InTc2As: optimized geometry, PBE.

a = 3.179 Å, b = 4.275 Å, c = 4.962 Å
α = 90.00°, β = 90.00°, γ = 90.00°
Element x y z (fractional)
In: 0.000 0.000 0.000
Tc: 0.000 0.500 0.500
Tc: 0.500 0.500 0.000
As: 0.500 0.000 0.500

Computed properties:
Distance to the lowest polymorph of the same formula = 455.7 meV/atom
Space-group type = Pmmm
ΔE_f = 1.96 eV/f.u.

Record 2
Na2TiSi4O11: optimized geometry, PBE.

a = 8.663 Å, b = 8.663 Å, c = 8.663 Å
α = 101.98°, β = 101.98°, γ = 125.80°
Element x y z (fractional)
Na: 0.132 0.818 0.950
Na: 0.182 0.132 0.313
Na: 0.818 0.868 0.687
Na: 0.868 0.182 0.050
Ti: 0.256 0.256 0.000
Ti: 0.744 0.744 0.000
Si: 0.001 0.683 0.299
Si: 0.298 0.999 0.681
Si: 0.317 0.617 0.319
Si: 0.383 0.702 0.701
Si: 0.617 0.298 0.299
Si: 0.683 0.383 0.681
Si: 0.702 0.001 0.319
Si: 0.999 0.317 0.701
O: 0.000 0.000 0.000
O: 0.053 0.277 0.868
O: 0.090 0.559 0.270
O: 0.180 0.910 0.469
O: 0.185 0.053 0.776
O: 0.196 0.455 0.651
O: 0.277 0.409 0.224
O: 0.289 0.820 0.730
O: 0.409 0.185 0.132
O: 0.441 0.711 0.531
O: 0.455 0.804 0.260
O: 0.500 0.500 0.000
O: 0.545 0.196 0.740
O: 0.559 0.289 0.469
O: 0.591 0.815 0.868
O: 0.711 0.180 0.270
O: 0.723 0.591 0.776
O: 0.804 0.545 0.349
O: 0.815 0.947 0.224
O: 0.820 0.090 0.531
O: 0.910 0.441 0.730
O: 0.947 0.723 0.132

Computed properties:
Uncorrected formation energy = -260.1 kJ/mol of atoms
Space-group type = I4/m

Record 3
Mg2RhSe: optimized geometry, PBE.

a = 3.374 Å, b = 3.374 Å, c = 6.037 Å
α = 90.00°, β = 90.00°, γ = 90.00°
Element x y z (fractional)
Mg: 0.000 0.000 0.236
Mg: 0.000 0.000 0.764
Rh: 0.500 0.500 0.000
Se: 0.500 0.500 0.500

Computed properties:
Uncorrected formation energy = -55.7 kJ/mol of atoms
Space-group type = P4/mmm

Record 4
RbNaNF2: optimized geometry, PBE.

a = 4.530 Å, b = 4.530 Å, c = 4.580 Å
α = 90.00°, β = 90.00°, γ = 90.00°
Element x y z (fractional)
Rb: 0.000 0.000 0.000
Na: 0.500 0.500 0.500
N: 0.500 0.500 0.000
F: 0.000 0.500 0.500
F: 0.500 0.000 0.500

Computed properties:
Uncorrected formation energy = -90.7 kJ/mol of atoms
Distance to the lowest polymorph of the same formula = 0.0 meV/atom
Space-group type = P4/mmm

Record 5
Pm4SmIn: optimized geometry, PBE.

a = 4.178 Å, b = 4.178 Å, c = 11.096 Å
α = 90.00°, β = 90.00°, γ = 90.00°
Element x y z (fractional)
Pm: 0.000 0.000 0.148
Pm: 0.000 0.000 0.852
Pm: 0.500 0.500 0.330
Pm: 0.500 0.500 0.670
Sm: 0.000 0.000 0.500
In: 0.500 0.500 0.000

Computed properties:
Distance to the lowest polymorph of the same formula = 0.0 meV/atom
Space-group type = P4/mmm
ΔE_f = -0.40 eV/f.u.

Record 6
Cs2ZnSbH: optimized geometry, PBE.

a = 7.827 Å, b = 4.573 Å, c = 11.003 Å
α = 90.00°, β = 109.92°, γ = 90.00°
Element x y z (fractional)
Cs: 0.199 0.250 0.406
Cs: 0.216 0.250 0.954
Cs: 0.784 0.750 0.046
Cs: 0.801 0.750 0.594
Zn: 0.454 0.750 0.238
Zn: 0.546 0.250 0.762
Sb: 0.362 0.750 0.717
Sb: 0.638 0.250 0.283
H: 0.223 0.750 0.176
H: 0.777 0.250 0.824

Computed properties:
Space-group type = P2_1/m

Record 7
Li3CrCl6: optimized geometry, PBE.

a = 7.457 Å, b = 7.457 Å, c = 7.457 Å
α = 91.01°, β = 91.01°, γ = 91.01°
Element x y z (fractional)
Li: 0.068 0.741 0.587
Li: 0.259 0.413 0.932
Li: 0.413 0.932 0.259
Li: 0.587 0.068 0.741
Li: 0.741 0.587 0.068
Li: 0.932 0.259 0.413
Cr: 0.000 0.000 0.000
Cr: 0.500 0.500 0.500
Cl: 0.051 0.699 0.914
Cl: 0.086 0.949 0.301
Cl: 0.202 0.418 0.570
Cl: 0.301 0.086 0.949
Cl: 0.418 0.570 0.202
Cl: 0.430 0.798 0.582
Cl: 0.570 0.202 0.418
Cl: 0.582 0.430 0.798
Cl: 0.699 0.914 0.051
Cl: 0.798 0.582 0.430
Cl: 0.914 0.051 0.699
Cl: 0.949 0.301 0.086

Computed properties:
Uncorrected formation energy = -144.4 kJ/mol of atoms
Space-group type = R-3

Record 8
Ac6CoHg2Br3: optimized geometry, PBE.

a = 7.788 Å, b = 7.788 Å, c = 8.195 Å
α = 99.80°, β = 99.80°, γ = 115.66°
Element x y z (fractional)
Ac: 0.070 0.374 0.705
Ac: 0.203 0.203 0.259
Ac: 0.374 0.070 0.705
Ac: 0.626 0.930 0.295
Ac: 0.797 0.797 0.741
Ac: 0.930 0.626 0.295
Co: 0.000 0.000 0.500
Hg: 0.352 0.648 0.500
Hg: 0.648 0.352 0.500
Br: 0.191 0.809 0.000
Br: 0.500 0.500 0.000
Br: 0.809 0.191 0.000

Computed properties:
Uncorrected formation energy = -76.5 kJ/mol of atoms
Space-group type = C2/m

no.,uncorrected energy (eV per atom)
1,-6.5405
2,-7.5159
3,-4.0838
4,-3.8105
5,-4.4761
6,-2.4367
7,-4.1415
8,-3.9082